The following is a DFT calculation (GGA-PBE) of crystalline ZrS3 at its relaxed geometry.

Its total energy is -6.43 eV per atom.

Lattice parameters (Å, degrees): 5.163 3.650 9.140 90.00 94.14 90.00
Space group P2_1/m (No. 11)
Inequivalent atoms, fractional coordinates:
Zr (0.226, 0.250, 0.348) x2
S (0.005, 0.250, 0.822) x2
S (0.259, 0.750, 0.554) x2
S (0.396, 0.750, 0.171) x2